(1)
Entry from Alexandria: a relaxed Hf2Au2I crystal (GGA-PBE).

Summary:
ΔE_f (raw), eV per atom: -0.21
Spin magnetization, μB per atom: 0.000
Fermi-level density of states, states/eV per cell: 8.0

a b c (Å): 7.806 7.806 3.632
angles (deg): 90.00 90.00 90.00
Sites, in units of the cell vectors:
Hf1 0.159 0.341 0.000
Hf2 0.659 0.159 0.000
Hf3 0.341 0.841 0.000
Au1 0.867 0.367 0.500
Au2 0.367 0.133 0.500
Au3 0.133 0.633 0.500
Au4 0.633 0.867 0.500
I1 0.500 0.500 0.000
Hf4 0.841 0.659 0.000
I2 0.000 0.000 0.000

(2)
Entry from Alexandria: a relaxed HfAu3I crystal (GGA-PBE).

Summary:
ΔE_f (raw), eV per atom: 1.29
Excess energy over the best structure of this formula in the dataset, kJ/mol of atoms: 69.5
Spin magnetization, μB per atom: 0.254
Fermi-level density of states, states/eV per cell: 6.3

a b c (Å): 5.228 5.228 5.228
angles (deg): 90.00 90.00 90.00
Sites, in units of the cell vectors:
Au1 0.500 0.000 0.000
Hf1 0.500 0.500 0.500
Au2 0.000 0.500 0.000
I1 0.000 0.000 0.000
Au3 0.000 0.000 0.500

(3)
Entry from Alexandria: a relaxed HfAuI3 crystal (GGA-PBE).

Summary:
ΔE_f (raw), eV per atom: 0.73
Excess energy over the best structure of this formula in the dataset, kJ/mol of atoms: 67.6
Spin magnetization, μB per atom: 0.335
Fermi-level density of states, states/eV per cell: 8.3

a b c (Å): 5.596 5.596 5.596
angles (deg): 90.00 90.00 90.00
Sites, in units of the cell vectors:
I1 0.000 0.500 0.000
I2 0.500 0.000 0.000
Au1 0.000 0.000 0.000
Hf1 0.500 0.500 0.500
I3 0.000 0.000 0.500

(4)
Entry from Alexandria: a relaxed NaHfAu2I crystal (GGA-PBE).

Summary:
ΔE_f (raw), eV per atom: 0.90
Spin magnetization, μB per atom: 0.000
Fermi-level density of states, states/eV per cell: 4.1

a b c (Å): 5.413 5.255 5.413
angles (deg): 90.00 90.00 90.00
Sites, in units of the cell vectors:
Au1 0.000 0.000 0.500
Au2 0.500 0.000 0.000
I1 0.000 0.000 0.000
Na1 0.500 0.500 0.500
Hf1 0.000 0.500 0.000